Material: Y3Zn9Hg2
Method: DFT, PBE-GGA
State: relaxed

Results
Its energy of formation from the pure elements is -0.3048 eV per atom. Its total energy is -2.5520 eV/atom. The magnetization is 0.00 μB per cell.

Cell lengths 4.4542, 9.0578, 13.2404 Å; angles 90.00, 90.00, 90.00 degrees
Space group Immm (No. 71)
Inequivalent atoms, fractional coordinates:
1 Y 0.0000 0.0000 0.0000 x2
2 Y 0.0000 0.0000 0.2941 x4
3 Zn 0.0000 0.2767 0.1447 x8
4 Zn 0.0000 0.3649 0.3350 x8
5 Zn 0.0000 0.5000 0.0000 x2
6 Hg 0.0000 0.1934 0.5000 x4